The following is a GGA-PBEsol calculation of a relaxed KNiAu2 crystal, from Alexandria via LeMat-Bulk.

Cell lengths 2.891, 2.891, 9.982 Å; angles 81.67, 81.67, 60.00 degrees
Site moments in Bohr magnetons follow the coordinates.
Element x y z (fractional)
Au1 0.994 0.994 0.017  0.00
Au2 0.742 0.742 0.773  0.00
K1 0.504 0.504 0.488  0.00
Ni1 0.259 0.259 0.222  0.10

Calculated values
calculated volume = 17.81 Å³/atom
M_tot = 0.08 μB/cell
energy of formation = 0.44 eV/atom
distance to the lowest polymorph of the same formula = 76 kJ/mol of formula units
space group = No. 160